1.
First-principles (PBE) data for crystalline Zn2Pt at its relaxed geometry, as listed in Alexandria.

Computed properties:
Space-group type ... I4_1/amd, No. 141
Final energy ... -0.2415 Ry per atom
Magnetic moment ... 0.00 μB/f.u.

Cell lengths 3.855, 3.855, 12.095 Å; angles 99.17, 99.17, 90.00 degrees
Atoms (fractional coordinates):
Pt: 0.172 0.672 0.343
Zn: 0.663 0.163 0.327
Zn: 0.499 0.999 0.998
Zn: 0.751 0.751 0.502
Zn: 0.001 0.501 0.002
Pt: 0.078 0.078 0.157
Pt: 0.328 0.828 0.657
Pt: 0.922 0.922 0.843
Zn: 0.837 0.337 0.673
Zn: 0.413 0.413 0.827
Zn: 0.587 0.587 0.173
Zn: 0.249 0.249 0.498


2.
First-principles (PBE) data for crystalline ZnPt4 at its relaxed geometry, as listed in Alexandria.

Computed properties:
Offset from the most stable computed form ... 0.403 eV per atom
Space-group type ... I4/mmm, No. 139
Final energy ... -0.3620 Ry per atom
Magnetic moment ... 0.00 μB/f.u.

Cell lengths 7.080, 7.080, 7.080 Å; angles 150.03, 150.03, 42.90 degrees
Atoms (fractional coordinates):
Pt: 0.405 0.405 0.000
Pt: 0.595 0.595 0.000
Pt: 0.250 0.750 0.500
Pt: 0.750 0.250 0.500
Zn: 0.000 0.000 0.000


3.
First-principles (PBE) data for crystalline Zn3Pt at its relaxed geometry, as listed in Alexandria.

Computed properties:
Space-group type ... P4/mmm, No. 123
Final energy ... -0.1993 Ry per atom
Magnetic moment ... 0.00 μB/f.u.

Cell lengths 2.834, 2.834, 7.493 Å; angles 90.00, 90.00, 90.00 degrees
Atoms (fractional coordinates):
Zn: 0.500 0.500 0.239
Zn: 0.500 0.500 0.761
Pt: 0.000 0.000 0.000
Zn: 0.000 0.000 0.500


4.
First-principles (PBE) data for crystalline Zn3Pt at its relaxed geometry, as listed in Alexandria.

Computed properties:
Space-group type ... R-3m, No. 166
Final energy ... -0.1953 Ry per atom
Magnetic moment ... 0.00 μB/f.u.

Cell lengths 2.841, 8.847, 2.841 Å; angles 99.24, 60.00, 99.24 degrees
Atoms (fractional coordinates):
Zn: 0.748 0.244 0.748
Zn: 0.252 0.756 0.252
Pt: 0.000 0.000 0.000
Zn: 0.500 0.500 0.500


5.
First-principles (PBE) data for crystalline Zn3Pt2 at its relaxed geometry, as listed in Alexandria.

Computed properties:
Space-group type ... C2/m, No. 12
Final energy ... -0.2672 Ry per atom
Magnetic moment ... 0.00 μB/f.u.

Cell lengths 4.620, 4.620, 5.997 Å; angles 53.53, 53.54, 49.82 degrees
Atoms (fractional coordinates):
Zn: 0.806 0.806 0.608
Pt: 0.419 0.419 0.797
Pt: 0.581 0.581 0.203
Zn: 0.000 0.000 0.000
Zn: 0.194 0.194 0.392


6.
First-principles (PBE) data for crystalline Zn13Pt2 at its relaxed geometry, as listed in Alexandria.

Computed properties:
Space-group type ... P-1, No. 2
Final energy ... -0.1529 Ry per atom
Magnetic moment ... 0.00 μB/f.u.

Cell lengths 5.080, 6.796, 8.836 Å; angles 125.07, 103.28, 97.36 degrees
Atoms (fractional coordinates):
Zn: 0.000 0.000 0.000
Zn: 0.541 0.125 0.220
Zn: 0.459 0.875 0.780
Zn: 0.345 0.297 0.960
Zn: 0.655 0.703 0.040
Pt: 0.093 0.161 0.346
Zn: 0.121 0.505 0.725
Zn: 0.198 0.713 0.152
Zn: 0.594 0.458 0.641
Zn: 0.267 0.997 0.544
Zn: 0.879 0.495 0.275
Pt: 0.907 0.839 0.654
Zn: 0.802 0.287 0.848
Zn: 0.406 0.542 0.359
Zn: 0.733 0.003 0.456


Please write out number 2 again, unchanged.
First-principles (PBE) data for crystalline ZnPt4 at its relaxed geometry, as listed in Alexandria.

Computed properties:
Offset from the most stable computed form ... 0.403 eV per atom
Space-group type ... I4/mmm, No. 139
Final energy ... -0.3620 Ry per atom
Magnetic moment ... 0.00 μB/f.u.

Cell lengths 7.080, 7.080, 7.080 Å; angles 150.03, 150.03, 42.90 degrees
Atoms (fractional coordinates):
Pt: 0.405 0.405 0.000
Pt: 0.595 0.595 0.000
Pt: 0.250 0.750 0.500
Pt: 0.750 0.250 0.500
Zn: 0.000 0.000 0.000